w:
! HAuS2 (PBE, relaxed); values from VASP
&SYSTEM
  ibrav = 0, nat = 4, ntyp = 3
/
ATOMIC_SPECIES
S 32.06 S.upf
Au 196.97 Au.upf
H 1.01 H.upf
ATOMIC_POSITIONS crystal
S 0.8918 0.8918 0.8918
S 0.1082 0.1082 0.1082
Au 0.0000 0.0000 0.0000
H 0.5000 0.5000 0.5000
CELL_PARAMETERS angstrom
1.7536 0.0000 7.2194
-0.8768 1.5187 7.2194
-0.8768 -1.5187 7.2194
! **SG**: R-3m, No. 166
! **V**: 57.7 Å³/cell

***

x:
! HAuS2 (PBE, relaxed); values from VASP
&SYSTEM
  ibrav = 0, nat = 8, ntyp = 3
/
ATOMIC_SPECIES
H 1.01 H.upf
Au 196.97 Au.upf
S 32.06 S.upf
ATOMIC_POSITIONS crystal
H 0.2500 0.7500 0.5000
H 0.5000 0.5000 0.0000
Au 0.7500 0.2500 0.5000
Au 0.0000 0.0000 0.0000
S 0.8750 0.8042 0.7500
S 0.5542 0.1250 0.2500
S 0.1958 0.6250 0.2500
S 0.3750 0.4458 0.7500
CELL_PARAMETERS angstrom
-3.0950 2.0977 3.7495
-4.2859 -1.1842 -2.8752
-3.9461 -3.5536 2.4698
! **SG**: I-42d, No. 122
! **V**: 126.3 Å³/cell

***

x comes first in stability; the runner-up is 227 meV/atom higher.

***

w:
! SbHAu2 (PBE, relaxed); values from VASP
&SYSTEM
  ibrav = 0, nat = 4, ntyp = 3
/
ATOMIC_SPECIES
Au 196.97 Au.upf
Sb 121.76 Sb.upf
H 1.01 H.upf
ATOMIC_POSITIONS crystal
Au 0.7500 0.7500 0.7500
Au 0.2500 0.2500 0.2500
Sb 0.5000 0.5000 0.5000
H 0.0000 0.0000 0.0000
CELL_PARAMETERS angstrom
0.0000 3.2952 3.2952
3.2952 0.0000 3.2952
3.2952 3.2952 0.0000
! **SG**: Fm-3m, No. 225
! **V**: 71.6 Å³/cell

***

x:
! SbHAu2 (PBE, relaxed); values from VASP
&SYSTEM
  ibrav = 0, nat = 8, ntyp = 3
/
ATOMIC_SPECIES
H 1.01 H.upf
Sb 121.76 Sb.upf
Au 196.97 Au.upf
ATOMIC_POSITIONS crystal
H 0.5000 0.5000 0.0000
Sb 0.7500 0.2500 0.5000
Au 0.4911 0.1250 0.2500
Sb 0.0000 0.0000 0.0000
Au 0.2589 0.6250 0.2500
H 0.2500 0.7500 0.5000
Au 0.3750 0.5089 0.7500
Au 0.8750 0.7411 0.7500
CELL_PARAMETERS angstrom
5.0777 0.0000 0.0000
0.0000 5.0777 0.0000
2.5389 2.5389 5.8109
! **SG**: I-42d, No. 122
! **V**: 149.8 Å³/cell

***

x comes first in stability; the runner-up is 359 meV/atom higher.

***

w:
! SbHAu3 (PBE, relaxed); values from VASP
&SYSTEM
  ibrav = 0, nat = 5, ntyp = 3
/
ATOMIC_SPECIES
Au 196.97 Au.upf
Sb 121.76 Sb.upf
H 1.01 H.upf
ATOMIC_POSITIONS crystal
Au 0.5000 0.0000 0.0000
Au 0.0000 0.5000 0.0000
Au 0.0000 0.0000 0.5000
Sb 0.0000 0.0000 0.0000
H 0.5000 0.5000 0.5000
CELL_PARAMETERS angstrom
-1.9419 2.6646 -4.0869
-4.3772 0.9914 2.7261
2.1549 4.4149 1.8545
! **SG**: Pm-3m, No. 221
! **V**: 144.8 Å³/cell

***

x:
! SbHAu3 (PBE, relaxed); values from VASP
&SYSTEM
  ibrav = 0, nat = 5, ntyp = 3
/
ATOMIC_SPECIES
Sb 121.76 Sb.upf
H 1.01 H.upf
Au 196.97 Au.upf
ATOMIC_POSITIONS crystal
Sb 0.5000 0.5000 0.5000
H 0.0000 0.0000 0.0000
Au 0.5000 0.0000 0.0000
Au 0.0000 0.5000 0.0000
Au 0.0000 0.0000 0.5000
CELL_PARAMETERS angstrom
4.3792 0.0000 0.0000
0.0000 4.3792 0.0000
0.0000 0.0000 4.3792
! **SG**: Pm-3m, No. 221
! **V**: 84.0 Å³/cell

***

x comes first in stability; the runner-up is 455 meV/atom higher.